No. 1
This record from the Alexandria database describes a relaxed RbTiCd2 crystal. The functional is PBEsol.

The structure in extended XYZ format:
```
4
Lattice="5.304 0.000 0.000 2.652 4.593 0.000 2.652 1.531 4.331" Properties=species:S:1:pos:R:3 pbc="T T T"
Cd 7.956 4.593 3.248
Cd 2.652 1.531 1.083
Ti 0.000 0.000 0.000
Rb 5.304 3.062 2.165
```

Results
Its formation energy is 672.4 meV per atom. The density of states at the Fermi level is 7.5 states/eV/cell. Its total moment is 2.09 Bohr magnetons per cell. Its space group is Fm-3m.

No. 2
This record from the Alexandria database describes a relaxed Rb5Tl11Cd2 crystal. The functional is PBEsol.

The structure in extended XYZ format:
```
18
Lattice="-4.729 -2.662 -0.829 5.505 -9.293 -1.558 -2.259 0.696 10.654" Properties=species:S:1:pos:R:3 pbc="T T T"
Tl -3.404 -2.159 8.176
Tl -0.941 -5.101 3.574
Tl 0.328 -8.463 7.131
Tl 4.667 -8.791 1.606
Tl -2.384 -2.387 3.087
Tl 1.854 -8.925 -0.095
Tl 2.081 -6.561 9.205
Tl 3.623 -8.545 6.779
Tl -0.759 -4.478 0.531
Tl 0.927 -2.456 2.599
Tl -0.578 -2.042 9.856
Rb -1.561 -5.456 8.253
Rb -0.138 -1.656 6.107
Rb 2.830 -5.475 1.438
Rb 1.372 -9.230 3.640
Rb 2.038 -5.399 5.713
Cd -0.990 -1.180 0.336
Cd -3.351 -2.509 -0.078
```

Results
Its formation energy is -119.4 meV per atom. The density of states at the Fermi level is 4.8 states/eV/cell. Its total moment is 0.00 Bohr magnetons per cell. Its space group is Amm2.

No. 3
This record from the Alexandria database describes a relaxed Rb2TlCd crystal. The functional is PBEsol.

The structure in extended XYZ format:
```
4
Lattice="-0.262 0.087 -6.101 4.954 -1.392 -3.289 0.208 -5.234 -3.140" Properties=species:S:1:pos:R:3 pbc="T T T"
Cd 0.000 0.000 0.000
Rb 3.675 -4.904 -9.398
Rb 1.225 -1.635 -3.133
Tl 2.450 -3.269 -6.265
```

Results
Its formation energy is 140.2 meV per atom. The density of states at the Fermi level is 5.2 states/eV/cell. Its total moment is 0.00 Bohr magnetons per cell. Its space group is Fm-3m.

No. 4
This record from the Alexandria database describes a relaxed RbZn3Cd crystal. The functional is PBEsol.

The structure in extended XYZ format:
```
5
Lattice="6.141 0.000 0.000 0.000 6.141 0.000 0.000 0.000 6.141" Properties=species:S:1:pos:R:3 pbc="T T T"
Rb 0.000 0.000 0.000
Zn 0.000 0.000 3.070
Zn 3.070 0.000 0.000
Zn 0.000 3.070 0.000
Cd 3.070 3.070 3.070
```

Results
Its formation energy is 1047.8 meV per atom. The density of states at the Fermi level is 2.3 states/eV/cell. Its total moment is 0.00 Bohr magnetons per cell. Its space group is Pm-3m.

No. 5
This record from the Alexandria database describes a relaxed Rb2Zr2Cd crystal. The functional is PBEsol.

The structure in extended XYZ format:
```
5
Lattice="3.925 0.000 0.000 0.000 3.925 0.000 -1.963 -1.963 12.246" Properties=species:S:1:pos:R:3 pbc="T T T"
Rb 0.000 0.000 9.628
Rb 1.963 1.963 2.617
Cd 0.000 0.000 0.000
Zr 1.963 0.000 6.123
Zr 0.000 1.963 6.123
```

Results
Its formation energy is 641.9 meV per atom. The density of states at the Fermi level is 3.6 states/eV/cell. Its total moment is 0.00 Bohr magnetons per cell. Its space group is I4/mmm.

No. 6
This record from the Alexandria database describes a relaxed CdRe crystal. The functional is PBEsol.

The structure in extended XYZ format:
```
4
Lattice="-1.634 2.626 0.516 0.263 -0.764 4.722 4.586 1.462 -2.449" Properties=species:S:1:pos:R:3 pbc="T T T"
Cd 1.106 -0.015 3.581
Cd 2.109 3.340 -0.792
Re 2.814 1.495 1.300
Re 0.401 1.829 1.489
```

Results
Its formation energy is 688.2 meV per atom. The density of states at the Fermi level is 2.8 states/eV/cell. Its total moment is 0.00 Bohr magnetons per cell. Its space group is Imma.

No. 7
This record from the Alexandria database describes a relaxed CdRe3 crystal. The functional is PBEsol.

The structure in extended XYZ format:
```
4
Lattice="2.786 0.000 0.000 -1.393 2.413 0.000 0.000 0.000 9.256" Properties=species:S:1:pos:R:3 pbc="T T T"
Re 0.000 0.000 4.628
Re 1.393 0.804 2.479
Re 1.393 0.804 6.777
Cd 0.000 0.000 0.000
```

Results
Its formation energy is 253.3 meV per atom. The density of states at the Fermi level is 3.4 states/eV/cell. Its total moment is 0.00 Bohr magnetons per cell. Its space group is P-6m2.

No. 8
This record from the Alexandria database describes a relaxed CdRe crystal. The functional is PBEsol.

The structure in extended XYZ format:
```
2
Lattice="3.779 0.000 0.000 1.890 3.273 0.000 1.890 1.091 3.086" Properties=species:S:1:pos:R:3 pbc="T T T"
Cd 0.000 0.000 0.000
Re 3.779 2.182 1.543
```

Results
Its formation energy is 2096.0 meV per atom. The density of states at the Fermi level is 2.8 states/eV/cell. Its total moment is 0.98 Bohr magnetons per cell. Its space group is Fm-3m.

No. 9
This record from the Alexandria database describes a relaxed CdRe3 crystal. The functional is PBEsol.

The structure in extended XYZ format:
```
4
Lattice="-2.639 -2.896 2.788 3.910 -2.625 0.974 0.935 2.802 3.796" Properties=species:S:1:pos:R:3 pbc="T T T"
Re 0.468 1.401 1.898
Re -1.320 -1.448 1.394
Re 1.955 -1.313 0.487
Cd 0.000 0.000 0.000
```

Results
Its formation energy is 4784.9 meV per atom. The density of states at the Fermi level is 8.2 states/eV/cell. Its total moment is 0.00 Bohr magnetons per cell. Its space group is Pm-3m.

No. 10
This record from the Alexandria database describes a relaxed Cd3Re crystal. The functional is PBEsol.

The structure in extended XYZ format:
```
4
Lattice="-1.550 2.313 0.014 -1.628 -1.114 3.923 4.378 2.918 2.645" Properties=species:S:1:pos:R:3 pbc="T T T"
Cd 0.600 2.059 3.291
Cd 3.349 2.232 2.024
Cd 1.029 0.686 0.622
Re -1.589 0.600 1.968
```

Results
Its formation energy is 516.2 meV per atom. The density of states at the Fermi level is 2.0 states/eV/cell. Its total moment is 0.00 Bohr magnetons per cell. Its space group is Pmmm.

No. 11
This record from the Alexandria database describes a relaxed CdRe crystal. The functional is PBEsol.

The structure in extended XYZ format:
```
4
Lattice="-2.136 1.890 -0.789 -0.550 -1.627 -2.410 -5.274 -4.259 4.079" Properties=species:S:1:pos:R:3 pbc="T T T"
Cd -1.030 -1.424 -0.621
Cd -5.587 -2.704 3.100
Re -3.395 -3.334 1.208
Re -3.222 -0.794 1.271
```

Results
Its formation energy is 233.6 meV per atom. The density of states at the Fermi level is 1.6 states/eV/cell. Its total moment is 0.00 Bohr magnetons per cell. Its space group is P4/nmm.

No. 12
This record from the Alexandria database describes a relaxed CdRe crystal. The functional is PBEsol.

The structure in extended XYZ format:
```
4
Lattice="4.513 0.000 0.000 -2.256 3.908 0.000 0.000 0.000 4.693" Properties=species:S:1:pos:R:3 pbc="T T T"
Cd 2.256 1.303 3.520
Cd 0.000 2.605 1.173
Re 0.000 0.000 2.346
Re 0.000 0.000 0.000
```

Results
Its formation energy is 1364.6 meV per atom. The density of states at the Fermi level is 5.2 states/eV/cell. Its total moment is 0.00 Bohr magnetons per cell. Its space group is P6_3/mmc.